Below is a relaxed structure of Mn2ZnIrF, with properties calculated at the PBE+U level.

Calculated total energy (eV/f.u.): -26.22
Density of states at the Fermi level (states/eV per cell): 1.60

Cell lengths 5.0242, 5.0242, 4.7546 Å; angles 90.00, 90.00, 90.00 degrees
Space group P4/mmm (No. 123)
Symmetry-distinct sites (fractional):
Mn (0.0000, 0.5000, 0.0000)
Zn (0.0000, 0.0000, 0.5000)
Ir (0.0000, 0.0000, 0.0000)
F (0.5000, 0.5000, 0.5000)